# 1
A geometry-optimized SrSb2Pb structure, computed with PBE.

Cell: 6.565 6.565 6.565 Å, 143.03 132.22 61.91°
Fractional positions:
Sb (0.992, 0.992, 0.000)
Sb (0.778, 0.278, 0.500)
Sr (0.501, 0.501, 0.000)
Pb (0.229, 0.729, 0.500)

Results
Formation energy from raw total energies (eV per atom): -0.406
Density of states at the Fermi level (states/eV/cell): 2.12

---

# 2
A geometry-optimized Ba2NdRuO6 structure, computed with PBE.

Cell: 6.059 6.059 6.101 Å, 59.98 59.98 59.96°
Site moments in Bohr magnetons follow the coordinates.
Fractional positions:
O (0.270, 0.270, 0.275)  0.11
O (0.730, 0.730, 0.725)  0.11
O (0.245, 0.708, 0.795)  0.11
O (0.708, 0.245, 0.795)  0.11
O (0.755, 0.292, 0.205)  0.11
O (0.292, 0.755, 0.205)  0.11
Nd (0.000, 0.000, 0.500)  0.01
Ba (0.249, 0.249, 0.754)  0.02
Ba (0.751, 0.751, 0.246)  0.02
Ru (0.500, 0.500, 0.000)  1.97

Results
Formation energy from raw total energies (eV per atom): -2.339
Density of states at the Fermi level (states/eV/cell): 1.14